<P>
# GGA-PBE NbRe3Pd, optimized geometry
# * volume: 104.4 Å³ per cell
# * crystal system: cubic
data_NbRe3Pd
_space_group_name_H-M_alt 'P m -3 m'
_space_group_IT_number 221
_space_group_name_Hall '-P 4 2 3'
_cell_length_a 4.708
_cell_length_b 4.708
_cell_length_c 4.708
_cell_angle_alpha 90.00
_cell_angle_beta 90.00
_cell_angle_gamma 90.00
loop_
_atom_site_label
_atom_site_fract_x
_atom_site_fract_y
_atom_site_fract_z
Nb1 0.000 0.000 0.000
Re1 0.000 0.000 0.500
Pd1 0.500 0.500 0.500



<Q>
# GGA-PBE NbRe3Pd, optimized geometry
# * volume: 100.0 Å³ per cell
# * crystal system: cubic
data_NbRe3Pd
_space_group_name_H-M_alt 'P m -3 m'
_space_group_IT_number 221
_space_group_name_Hall '-P 4 2 3'
_cell_length_a 4.641
_cell_length_b 4.641
_cell_length_c 4.641
_cell_angle_alpha 90.00
_cell_angle_beta 90.00
_cell_angle_gamma 90.00
loop_
_atom_site_label
_atom_site_fract_x
_atom_site_fract_y
_atom_site_fract_z
Nb1 0.000 0.000 0.000
Re1 0.000 0.500 0.500
Pd1 0.500 0.500 0.500



Stability summary: most stable <P>, least stable <Q>.



<P>
# GGA-PBE Nb3RePd, optimized geometry
# * volume: 112.4 Å³ per cell
# * crystal system: cubic
data_Nb3RePd
_space_group_name_H-M_alt 'P m -3 m'
_space_group_IT_number 221
_space_group_name_Hall '-P 4 2 3'
_cell_length_a 4.826
_cell_length_b 4.826
_cell_length_c 4.826
_cell_angle_alpha 90.00
_cell_angle_beta 90.00
_cell_angle_gamma 90.00
loop_
_atom_site_label
_atom_site_fract_x
_atom_site_fract_y
_atom_site_fract_z
Nb1 0.000 0.000 0.500
Re1 0.000 0.000 0.000
Pd1 0.500 0.500 0.500



<Q>
# GGA-PBE Nb3RePd, optimized geometry
# * volume: 107.0 Å³ per cell
# * crystal system: cubic
data_Nb3RePd
_space_group_name_H-M_alt 'P m -3 m'
_space_group_IT_number 221
_space_group_name_Hall '-P 4 2 3'
_cell_length_a 4.748
_cell_length_b 4.748
_cell_length_c 4.748
_cell_angle_alpha 90.00
_cell_angle_beta 90.00
_cell_angle_gamma 90.00
loop_
_atom_site_label
_atom_site_fract_x
_atom_site_fract_y
_atom_site_fract_z
Nb1 0.000 0.000 0.500
Re1 0.500 0.500 0.500
Pd1 0.000 0.000 0.000



Stability summary: most stable <P>, least stable <Q>.



<P>
# GGA-PBE Nb2PdRh2, optimized geometry
# * volume: 159.3 Å³ per cell
# * crystal system: monoclinic
data_Nb2PdRh2
_space_group_name_H-M_alt 'C 1 2/m 1'
_space_group_IT_number 12
_space_group_name_Hall '-C 2y'
_cell_length_a 8.720
_cell_length_b 4.034
_cell_length_c 6.265
_cell_angle_alpha 90.00
_cell_angle_beta 133.72
_cell_angle_gamma 90.00
loop_
_atom_site_label
_atom_site_fract_x
_atom_site_fract_y
_atom_site_fract_z
Nb1 0.077 0.000 0.366
Pd1 0.000 0.500 0.000
Rh1 0.200 0.500 0.790



<Q>
# GGA-PBE Nb2PdRh2, optimized geometry
# * volume: 169.5 Å³ per cell
# * crystal system: tetragonal
data_Nb2PdRh2
_space_group_name_H-M_alt 'P 4/m b m'
_space_group_IT_number 127
_space_group_name_Hall '-P 4 2ab'
_cell_length_a 7.686
_cell_length_b 7.686
_cell_length_c 2.870
_cell_angle_alpha 90.00
_cell_angle_beta 90.00
_cell_angle_gamma 90.00
loop_
_atom_site_label
_atom_site_fract_x
_atom_site_fract_y
_atom_site_fract_z
Nb1 0.157 0.343 0.000
Pd1 0.000 0.000 0.000
Rh1 0.138 0.638 0.500



Stability summary: most stable <P>, least stable <Q>.



<P>
# GGA-PBE NbPd2Rh2, optimized geometry
# * volume: 304.9 Å³ per cell
# * crystal system: orthorhombic
data_NbPd2Rh2
_space_group_name_H-M_alt 'C m c m'
_space_group_IT_number 63
_space_group_name_Hall '-C 2c 2'
_cell_length_a 3.933
_cell_length_b 19.703
_cell_length_c 3.935
_cell_angle_alpha 90.00
_cell_angle_beta 90.00
_cell_angle_gamma 90.00
loop_
_atom_site_label
_atom_site_fract_x
_atom_site_fract_y
_atom_site_fract_z
Nb1 0.000 0.155 0.250
Pd1 0.000 0.053 0.750
Pd2 0.000 0.449 0.750
Rh1 0.000 0.250 0.750
Rh2 0.000 0.352 0.250



<Q>
# GGA-PBE NbPd2Rh2, optimized geometry
# * volume: 163.3 Å³ per cell
# * crystal system: tetragonal
data_NbPd2Rh2
_space_group_name_H-M_alt 'P 4/m b m'
_space_group_IT_number 127
_space_group_name_Hall '-P 4 2ab'
_cell_length_a 6.572
_cell_length_b 6.572
_cell_length_c 3.781
_cell_angle_alpha 90.00
_cell_angle_beta 90.00
_cell_angle_gamma 90.00
loop_
_atom_site_label
_atom_site_fract_x
_atom_site_fract_y
_atom_site_fract_z
Nb1 0.000 0.000 0.000
Pd1 0.161 0.339 0.500
Rh1 0.137 0.637 0.000



Stability summary: most stable <P>, least stable <Q>.



<P>
# GGA-PBE Nb3PdRh, optimized geometry
# * volume: 176.8 Å³ per cell
# * crystal system: monoclinic
data_Nb3PdRh
_space_group_name_H-M_alt 'P 1 21/m 1'
_space_group_IT_number 11
_space_group_name_Hall '-P 2yb'
_cell_length_a 4.897
_cell_length_b 5.664
_cell_length_c 6.727
_cell_angle_alpha 90.00
_cell_angle_beta 108.61
_cell_angle_gamma 90.00
loop_
_atom_site_label
_atom_site_fract_x
_atom_site_fract_y
_atom_site_fract_z
Nb1 0.115 0.250 0.493
Nb2 0.185 0.501 0.868
Pd1 0.336 0.750 0.263
Rh1 0.412 0.250 0.236



<Q>
# GGA-PBE Nb3PdRh, optimized geometry
# * volume: 109.5 Å³ per cell
# * crystal system: cubic
data_Nb3PdRh
_space_group_name_H-M_alt 'P m -3 m'
_space_group_IT_number 221
_space_group_name_Hall '-P 4 2 3'
_cell_length_a 4.784
_cell_length_b 4.784
_cell_length_c 4.784
_cell_angle_alpha 90.00
_cell_angle_beta 90.00
_cell_angle_gamma 90.00
loop_
_atom_site_label
_atom_site_fract_x
_atom_site_fract_y
_atom_site_fract_z
Nb1 0.000 0.000 0.500
Pd1 0.000 0.000 0.000
Rh1 0.500 0.500 0.500



<R>
# GGA-PBE Nb3PdRh, optimized geometry
# * volume: 109.4 Å³ per cell
# * crystal system: cubic
data_Nb3PdRh
_space_group_name_H-M_alt 'P m -3 m'
_space_group_IT_number 221
_space_group_name_Hall '-P 4 2 3'
_cell_length_a 4.782
_cell_length_b 4.782
_cell_length_c 4.782
_cell_angle_alpha 90.00
_cell_angle_beta 90.00
_cell_angle_gamma 90.00
loop_
_atom_site_label
_atom_site_fract_x
_atom_site_fract_y
_atom_site_fract_z
Nb1 0.000 0.000 0.500
Pd1 0.500 0.500 0.500
Rh1 0.000 0.000 0.000



Stability summary: most stable <P>, least stable <Q>.



<P>
# GGA-PBE NbPdRu, optimized geometry
# * volume: 190.7 Å³ per cell
# * crystal system: orthorhombic
data_NbPdRu
_space_group_name_H-M_alt 'A m m 2'
_space_group_IT_number 38
_space_group_name_Hall 'A 2 -2'
_cell_length_a 3.118
_cell_length_b 13.447
_cell_length_c 4.548
_cell_angle_alpha 90.00
_cell_angle_beta 90.00
_cell_angle_gamma 90.00
loop_
_atom_site_label
_atom_site_fract_x
_atom_site_fract_y
_atom_site_fract_z
Nb1 0.000 0.162 0.000
Pd1 0.000 0.000 0.361
Pd2 0.500 0.000 0.853
Ru1 0.500 0.177 0.498



<Q>
# GGA-PBE NbPdRu, optimized geometry
# * volume: 95.2 Å³ per cell
# * crystal system: hexagonal
data_NbPdRu
_space_group_name_H-M_alt 'P 63/m m c'
_space_group_IT_number 194
_space_group_name_Hall '-P 6c 2c'
_cell_length_a 4.4925
_cell_length_b 4.4925
_cell_length_c 5.4485
_cell_angle_alpha 90.00
_cell_angle_beta 90.00
_cell_angle_gamma 120.00
loop_
_atom_site_label
_atom_site_fract_x
_atom_site_fract_y
_atom_site_fract_z
Nb1 0.3333 0.6667 0.2500
Pd1 0.0000 0.0000 0.0000
Ru1 0.3333 0.6667 0.7500



Stability summary: most stable <P>, least stable <Q>.



<P>
# GGA-PBE NbPdRu, optimized geometry
# * volume: 95.2 Å³ per cell
# * crystal system: monoclinic
data_NbPdRu
_space_group_name_H-M_alt 'C 1 m 1'
_space_group_IT_number 8
_space_group_name_Hall 'C -2y'
_cell_length_a 8.810
_cell_length_b 3.970
_cell_length_c 2.806
_cell_angle_alpha 90.00
_cell_angle_beta 104.02
_cell_angle_gamma 90.00
loop_
_atom_site_label
_atom_site_fract_x
_atom_site_fract_y
_atom_site_fract_z
Nb1 0.000 0.000 0.000
Pd1 0.325 0.000 0.371
Ru1 0.157 0.500 0.751



<Q>
# GGA-PBE NbPdRu, optimized geometry
# * volume: 190.6 Å³ per cell
# * crystal system: monoclinic
data_NbPdRu
_space_group_name_H-M_alt 'C 1 c 1'
_space_group_IT_number 9
_space_group_name_Hall 'C -2yc'
_cell_length_a 8.317
_cell_length_b 5.026
_cell_length_c 5.599
_cell_angle_alpha 90.00
_cell_angle_beta 125.47
_cell_angle_gamma 90.00
loop_
_atom_site_label
_atom_site_fract_x
_atom_site_fract_y
_atom_site_fract_z
Nb1 0.000 0.119 0.000
Pd1 0.161 0.391 0.519
Ru1 0.322 0.107 0.024



<R>
# GGA-PBE NbPdRu, optimized geometry
# * volume: 192.2 Å³ per cell
# * crystal system: monoclinic
data_NbPdRu
_space_group_name_H-M_alt 'C 1 2/m 1'
_space_group_IT_number 12
_space_group_name_Hall '-C 2y'
_cell_length_a 9.898
_cell_length_b 2.971
_cell_length_c 6.851
_cell_angle_alpha 90.00
_cell_angle_beta 107.44
_cell_angle_gamma 90.00
loop_
_atom_site_label
_atom_site_fract_x
_atom_site_fract_y
_atom_site_fract_z
Nb1 0.032 0.000 0.261
Pd1 0.173 0.500 0.614
Ru1 0.146 0.500 0.024



Stability summary: most stable <R>, least stable <P>.



<P>
# GGA-PBE NbPdRu, optimized geometry
# * volume: 97.0 Å³ per cell
# * crystal system: tetragonal
data_NbPdRu
_space_group_name_H-M_alt 'I 4 m m'
_space_group_IT_number 107
_space_group_name_Hall 'I 4 -2'
_cell_length_a 3.268
_cell_length_b 3.268
_cell_length_c 9.086
_cell_angle_alpha 90.00
_cell_angle_beta 90.00
_cell_angle_gamma 90.00
loop_
_atom_site_label
_atom_site_fract_x
_atom_site_fract_y
_atom_site_fract_z
Nb1 0.000 0.000 0.000
Pd1 0.000 0.000 0.672
Ru1 0.000 0.000 0.361



<Q>
# GGA-PBE NbPdRu, optimized geometry
# * volume: 188.7 Å³ per cell
# * crystal system: monoclinic
data_NbPdRu
_space_group_name_H-M_alt 'C 1 2/c 1'
_space_group_IT_number 15
_space_group_name_Hall '-C 2yc'
_cell_length_a 4.933
_cell_length_b 8.494
_cell_length_c 4.975
_cell_angle_alpha 90.00
_cell_angle_beta 115.13
_cell_angle_gamma 90.00
loop_
_atom_site_label
_atom_site_fract_x
_atom_site_fract_y
_atom_site_fract_z
Nb1 0.000 0.101 0.250
Pd1 0.000 0.245 0.750
Ru1 0.000 0.425 0.250



<R>
# GGA-PBE NbPdRu, optimized geometry
# * volume: 188.3 Å³ per cell
# * crystal system: monoclinic
data_NbPdRu
_space_group_name_H-M_alt 'C 1 m 1'
_space_group_IT_number 8
_space_group_name_Hall 'C -2y'
_cell_length_a 8.965
_cell_length_b 3.977
_cell_length_c 5.565
_cell_angle_alpha 90.00
_cell_angle_beta 108.33
_cell_angle_gamma 90.00
loop_
_atom_site_label
_atom_site_fract_x
_atom_site_fract_y
_atom_site_fract_z
Nb1 0.000 0.000 0.000
Nb2 0.201 0.500 0.395
Pd1 0.026 0.000 0.526
Pd2 0.352 0.000 0.205
Ru1 0.176 0.500 0.888
Ru2 0.352 0.000 0.711



<S>
# GGA-PBE NbPdRu, optimized geometry
# * volume: 190.9 Å³ per cell
# * crystal system: monoclinic
data_NbPdRu
_space_group_name_H-M_alt 'C 1 2/m 1'
_space_group_IT_number 12
_space_group_name_Hall '-C 2y'
_cell_length_a 9.002
_cell_length_b 3.980
_cell_length_c 5.756
_cell_angle_alpha 90.00
_cell_angle_beta 112.22
_cell_angle_gamma 90.00
loop_
_atom_site_label
_atom_site_fract_x
_atom_site_fract_y
_atom_site_fract_z
Nb1 0.162 0.000 0.096
Pd1 0.165 0.000 0.573
Ru1 0.024 0.500 0.764



Stability summary: most stable <R>, least stable <P>.



<P>
# GGA-PBE NbPdRu, optimized geometry
# * volume: 95.4 Å³ per cell
# * crystal system: monoclinic
data_NbPdRu
_space_group_name_H-M_alt 'P 1 2/m 1'
_space_group_IT_number 10
_space_group_name_Hall '-P 2y'
_cell_length_a 4.526
_cell_length_b 3.112
_cell_length_c 6.852
_cell_angle_alpha 90.00
_cell_angle_beta 98.71
_cell_angle_gamma 90.00
loop_
_atom_site_label
_atom_site_fract_x
_atom_site_fract_y
_atom_site_fract_z
Nb1 0.214 0.000 0.325
Pd1 0.000 0.500 0.000
Pd2 0.500 0.000 0.000
Ru1 0.283 0.500 0.645



<Q>
# GGA-PBE NbPdRu, optimized geometry
# * volume: 189.4 Å³ per cell
# * crystal system: orthorhombic
data_NbPdRu
_space_group_name_H-M_alt 'C m c m'
_space_group_IT_number 63
_space_group_name_Hall '-C 2c 2'
_cell_length_a 3.122
_cell_length_b 13.900
_cell_length_c 4.364
_cell_angle_alpha 90.00
_cell_angle_beta 90.00
_cell_angle_gamma 90.00
loop_
_atom_site_label
_atom_site_fract_x
_atom_site_fract_y
_atom_site_fract_z
Nb1 0.000 0.096 0.250
Pd1 0.000 0.236 0.750
Ru1 0.000 0.434 0.250



Stability summary: most stable <Q>, least stable <P>.



<P>
# GGA-PBE NbPdRu, optimized geometry
# * volume: 94.8 Å³ per cell
# * crystal system: triclinic
data_NbPdRu
_space_group_name_H-M_alt 'P -1'
_space_group_IT_number 2
_space_group_name_Hall '-P 1'
_cell_length_a 4.839
_cell_length_b 4.917
_cell_length_c 5.171
_cell_angle_alpha 113.54
_cell_angle_beta 93.18
_cell_angle_gamma 118.18
loop_
_atom_site_label
_atom_site_fract_x
_atom_site_fract_y
_atom_site_fract_z
Nb1 0.118 0.364 0.237
Pd1 0.437 0.014 0.250
Ru1 0.217 0.316 0.733



<Q>
# GGA-PBE NbPdRu, optimized geometry
# * volume: 189.2 Å³ per cell
# * crystal system: monoclinic
data_NbPdRu
_space_group_name_H-M_alt 'C 1 2/m 1'
_space_group_IT_number 12
_space_group_name_Hall '-C 2y'
_cell_length_a 8.624
_cell_length_b 4.155
_cell_length_c 5.403
_cell_angle_alpha 90.00
_cell_angle_beta 102.25
_cell_angle_gamma 90.00
loop_
_atom_site_label
_atom_site_fract_x
_atom_site_fract_y
_atom_site_fract_z
Nb1 0.159 0.000 0.302
Pd1 0.000 0.500 0.000
Pd2 0.000 0.500 0.500
Ru1 0.174 0.000 0.801



Stability summary: most stable <Q>, least stable <P>.